(1)
# CrSbMoPb2 | the Alexandria database | PBE | relaxed
# - Uncorrected formation energy: 1539.9 meV/atom
# - Calculated total energy: -4.86 eV per atom
data_CrSbMoPb2
_symmetry_space_group_name_H-M 'P 1'
_symmetry_Int_Tables_number 1
_cell_length_a 5.813
_cell_length_b 5.813
_cell_length_c 5.069
_cell_angle_alpha 90.00
_cell_angle_beta 90.00
_cell_angle_gamma 90.00
loop_
_symmetry_equiv_pos_as_xyz
'x,y,z'
loop_
_atom_site_label
_atom_site_type_symbol
_atom_site_fract_x
_atom_site_fract_y
_atom_site_fract_z
Cr1 Cr 0.000 0.000 0.000
Sb1 Sb 0.500 0.500 0.500
Mo1 Mo 0.500 0.500 0.000
Pb1 Pb 0.000 0.500 0.500
Pb2 Pb 0.500 0.000 0.500



(2)
# TiCrMo2Pb | the Alexandria database | PBE | relaxed
# - ΔE_f: 2.439 eV/atom
# - Calculated total energy: -6.14 eV per atom
data_TiCrMo2Pb
_symmetry_space_group_name_H-M 'P 1'
_symmetry_Int_Tables_number 1
_cell_length_a 4.991
_cell_length_b 4.991
_cell_length_c 4.695
_cell_angle_alpha 90.00
_cell_angle_beta 90.00
_cell_angle_gamma 90.00
loop_
_symmetry_equiv_pos_as_xyz
'x,y,z'
loop_
_atom_site_label
_atom_site_type_symbol
_atom_site_fract_x
_atom_site_fract_y
_atom_site_fract_z
Ti1 Ti 0.000 0.000 0.000
Cr1 Cr 0.500 0.500 0.000
Mo1 Mo 0.000 0.500 0.500
Mo2 Mo 0.500 0.000 0.500
Pb1 Pb 0.500 0.500 0.500



(3)
# Y2CrMoPb | the Alexandria database | PBE | relaxed
# - ΔE_f: 0.450 eV/atom
# - Calculated total energy: -6.97 eV per atom
data_Y2CrMoPb
_symmetry_space_group_name_H-M 'P 1'
_symmetry_Int_Tables_number 1
_cell_length_a 5.390
_cell_length_b 5.390
_cell_length_c 4.351
_cell_angle_alpha 90.00
_cell_angle_beta 90.00
_cell_angle_gamma 90.00
loop_
_symmetry_equiv_pos_as_xyz
'x,y,z'
loop_
_atom_site_label
_atom_site_type_symbol
_atom_site_fract_x
_atom_site_fract_y
_atom_site_fract_z
Y1 Y 0.000 0.500 0.000
Y2 Y 0.500 0.000 0.000
Cr1 Cr 0.000 0.000 0.000
Mo1 Mo 0.000 0.000 0.500
Pb1 Pb 0.500 0.500 0.500



(4)
# ZnCrMo2Pb | the Alexandria database | PBE | relaxed
# - ΔE_f: 2.539 eV/atom
# - Calculated total energy: -4.71 eV per atom
data_ZnCrMo2Pb
_symmetry_space_group_name_H-M 'P 1'
_symmetry_Int_Tables_number 1
_cell_length_a 5.122
_cell_length_b 5.122
_cell_length_c 4.835
_cell_angle_alpha 90.00
_cell_angle_beta 90.00
_cell_angle_gamma 90.00
loop_
_symmetry_equiv_pos_as_xyz
'x,y,z'
loop_
_atom_site_label
_atom_site_type_symbol
_atom_site_fract_x
_atom_site_fract_y
_atom_site_fract_z
Zn1 Zn 0.000 0.000 0.000
Cr1 Cr 0.500 0.500 0.000
Mo1 Mo 0.000 0.500 0.500
Mo2 Mo 0.500 0.000 0.500
Pb1 Pb 0.500 0.500 0.500



(5)
# ZrCrMoPb2 | the Alexandria database | PBE | relaxed
# - ΔE_f: 1.065 eV/atom
# - Calculated total energy: -6.22 eV per atom
# - ΔE to the lowest computed polymorph: 0.43 eV per formula unit
data_ZrCrMoPb2
_symmetry_space_group_name_H-M 'P 1'
_symmetry_Int_Tables_number 1
_cell_length_a 5.343
_cell_length_b 5.343
_cell_length_c 4.547
_cell_angle_alpha 90.00
_cell_angle_beta 90.00
_cell_angle_gamma 90.00
loop_
_symmetry_equiv_pos_as_xyz
'x,y,z'
loop_
_atom_site_label
_atom_site_type_symbol
_atom_site_fract_x
_atom_site_fract_y
_atom_site_fract_z
Zr1 Zr 0.000 0.000 0.000
Cr1 Cr 0.500 0.500 0.000
Mo1 Mo 0.500 0.500 0.500
Pb1 Pb 0.000 0.500 0.500
Pb2 Pb 0.500 0.000 0.500



(6)
# ZrCrMoPb2 | the Alexandria database | PBE | relaxed
# - ΔE_f: 0.978 eV/atom
# - Calculated total energy: -6.31 eV per atom
# - ΔE to the lowest computed polymorph: 0.00 eV per formula unit
data_ZrCrMoPb2
_symmetry_space_group_name_H-M 'P 1'
_symmetry_Int_Tables_number 1
_cell_length_a 5.121
_cell_length_b 5.121
_cell_length_c 4.486
_cell_angle_alpha 90.00
_cell_angle_beta 90.00
_cell_angle_gamma 90.00
loop_
_symmetry_equiv_pos_as_xyz
'x,y,z'
loop_
_atom_site_label
_atom_site_type_symbol
_atom_site_fract_x
_atom_site_fract_y
_atom_site_fract_z
Zr1 Zr 0.000 0.000 0.000
Cr1 Cr 0.500 0.500 0.500
Mo1 Mo 0.500 0.500 0.000
Pb1 Pb 0.000 0.500 0.500
Pb2 Pb 0.500 0.000 0.500



Q: What is the calculated total energy in the second record?
A: -6.14 eV per atom



Q: Look up the calculated total energy of the fourth one.
A: -4.71 eV per atom